# 1
Crystalline UNiRuRh at its relaxed geometry. Source: Alexandria via LeMat-Bulk, functional PBE-GGA.

The structure belongs to space group Pmmm (No. 47); the cell edges are 3.813, 3.950 and 4.097 Å and the angles 90.00°, 90.00° and 90.00°. The distinct sites, in fractional coordinates, are U at (0.000, 0.000, 0.000), Ni at (0.000, 0.500, 0.500), Ru at (0.500, 0.500, 0.000) and Rh at (0.500, 0.000, 0.500).

The calculation puts the final energy at -8.89 eV/atom. The energy relative to the elements comes out at -0.468 eV per atom.


# 2
Crystalline Sm2TaSi4Ir3 at its relaxed geometry. Source: Alexandria via LeMat-Bulk, functional PBE-GGA.

The structure belongs to space group P-4m2 (No. 115); the cell edges are 4.131, 4.131 and 10.453 Å and the angles 90.00°, 90.00° and 90.00°. The distinct sites, in fractional coordinates, are Sm at (0.000, 0.500, 0.239), Ta at (0.000, 0.000, 0.500), Si at (0.000, 0.000, 0.000), Si at (0.000, 0.500, 0.648), Si at (0.500, 0.500, 0.000), Ir at (0.000, 0.500, 0.879) and Ir at (0.500, 0.500, 0.500).

The calculation puts the final energy at -7.83 eV/atom.


# 3
Crystalline La2Ho8Er3 at its relaxed geometry. Source: Alexandria via LeMat-Bulk, functional PBE-GGA.

The structure belongs to space group Cmmm (No. 65); the cell edges are 7.606, 21.119 and 5.464 Å and the angles 90.00°, 90.00° and 90.00°. The distinct sites, in fractional coordinates, are La at (0.000, 0.240, 0.000), Ho at (0.000, 0.124, 0.500), Ho at (0.000, 0.343, 0.500), Ho at (0.213, 0.395, 0.000), Er at (0.000, 0.000, 0.000) and Er at (0.212, 0.500, 0.500).

The calculation puts the final energy at -4.39 eV/atom. The energy relative to the elements comes out at 0.241 eV per atom.